Entry 1:
Entry from the Alexandria database: crystalline TaInP2S at its relaxed geometry (PBE).

Values from the calculation:
The formation energy without anion corrections comes out at 0.0132 eV per atom. The value obtained for the theoretical density is 5.63 g cm⁻³. The total DFT energy (no corrections) comes out at -5.894 eV/atom. The relative energy among the computed polymorphs is 0 meV/atom.

```
TaInP2S
1.0
4.916 0.000 0.000
0.000 4.916 0.000
0.000 0.000 4.760
Ta In P S
1 1 2 1
Direct
0.000 0.000 0.000
0.500 0.500 0.500
0.000 0.500 0.000
0.500 0.000 0.000
0.000 0.000 0.500
```


Entry 2:
Entry from the Alexandria database: crystalline Ca2TaOs at its relaxed geometry (PBE).

Values from the calculation:
As for the calculated formation energy: 0.300 eV/atom. The value obtained for the theoretical density is 7.66 g cm⁻³. The total DFT energy (no corrections) comes out at -6.471 eV/atom. The relative energy among the computed polymorphs is 158 meV/atom.

```
Ca2TaOs
1.0
3.546 0.000 0.000
0.000 5.387 0.000
0.000 0.000 10.246
Ca Ta Os
4 2 2
Direct
0.000 0.000 0.000
0.000 0.500 0.209
0.500 0.000 0.709
0.500 0.500 0.500
0.000 0.500 0.799
0.500 0.000 0.299
0.000 0.000 0.462
0.500 0.500 0.962
```


Entry 3:
Entry from the Alexandria database: crystalline CePmGd2 at its relaxed geometry (PBE).

Values from the calculation:
As for the calculated formation energy: 0.184 eV/atom. The value obtained for the theoretical density is 7.58 g cm⁻³. The total DFT energy (no corrections) comes out at -9.528 eV/atom. The relative energy among the computed polymorphs is 123 meV/atom.

```
CePmGd2
1.0
8.071 0.000 0.000
0.000 8.071 0.000
0.000 0.000 8.071
Ce Pm Gd
4 4 8
Direct
0.000 0.000 0.000
0.000 0.500 0.500
0.500 0.000 0.500
0.500 0.500 0.000
0.000 0.000 0.500
0.000 0.500 0.000
0.500 0.000 0.000
0.500 0.500 0.500
0.250 0.250 0.250
0.250 0.250 0.750
0.250 0.750 0.250
0.250 0.750 0.750
0.750 0.250 0.250
0.750 0.250 0.750
0.750 0.750 0.250
0.750 0.750 0.750
```


Entry 4:
Entry from the Alexandria database: crystalline TbSbSO2 at its relaxed geometry (PBE).

Values from the calculation:
The formation energy without anion corrections comes out at -2.0190 eV per atom. The value obtained for the theoretical density is 6.30 g cm⁻³. The total DFT energy (no corrections) comes out at -6.578 eV/atom.

```
TbSbSO2
1.0
6.389 0.000 0.000
0.000 3.912 0.000
-2.099 0.000 7.269
Tb Sb S O
2 2 2 4
Direct
0.203 0.250 0.417
0.797 0.750 0.583
0.189 0.250 0.922
0.811 0.750 0.078
0.441 0.750 0.279
0.559 0.250 0.721
0.017 0.250 0.640
0.023 0.750 0.893
0.977 0.250 0.107
0.983 0.750 0.360
```


> theoretical density of number 3 (CePmGd2)?

7.58 g cm⁻³


> theoretical density of number 3 (CePmGd2)?

7.58 g cm⁻³


> Which value of total DFT energy (no corrections) does entry 1 give?

-5.894 eV/atom


> total DFT energy (no corrections) of number 1 (TaInP2S)?

-5.894 eV/atom